Below is crystalline Na3Hf3MnS8 at its relaxed geometry, with properties calculated at the PBE-GGA level.

Lattice parameters (Å, degrees): 7.3516 7.3536 7.9952 117.40 90.00 119.99
With the nearest neighbours (Å) after each atom.
Fractional coordinates of all 15 atoms:
S (0.7329, 0.9730, 0.7129)  2 Hf 2.55, 1 Mn 2.59
S (0.2402, 0.4804, 0.7131)  2 Hf 2.55, 1 Mn 2.59
S (0.2400, 0.9730, 0.7129)  2 Hf 2.55, 1 Mn 2.59
S (0.7598, 0.5196, 0.2869)  2 Hf 2.55, 1 Mn 2.59
S (0.2601, 0.5202, 0.2802)  3 Hf 2.59, 3 Na 2.85
S (0.7600, 0.0270, 0.2871)  2 Hf 2.55, 1 Mn 2.59
S (0.2671, 0.0270, 0.2871)  2 Hf 2.55, 1 Mn 2.59
S (0.7399, 0.4798, 0.7198)  3 Hf 2.59, 3 Na 2.85
Mn (0.0000, 0.0000, 0.5000)  6 S 2.59
Na (0.5000, 0.5000, 0.0000)  6 S 2.85-2.89
Na (0.0000, 0.5000, 0.0000)  6 S 2.85-2.89
Na (0.0000, 0.0000, 0.0000)  6 S 2.85-2.89
Hf (0.5000, 0.5000, 0.5000)  6 S 2.55-2.59
Hf (0.5000, 0.0000, 0.5000)  6 S 2.55-2.59
Hf (0.0000, 0.5000, 0.5000)  6 S 2.55-2.59

The space group is R-3m. The uncorrected formation energy comes out at -1.37 eV/atom.

Below is crystalline Na4Hf3MnS8 at its relaxed geometry, with properties calculated at the PBE-GGA level.

Lattice parameters (Å, degrees): 7.3819 7.9564 7.3834 117.68 119.99 90.00
With the nearest neighbours (Å) after each atom.
Fractional coordinates of all 16 atoms:
S (0.2402, 0.7175, 0.9774)  2 Hf 2.58, 1 Mn 2.59, 3 Na 2.84-2.86
S (0.2628, 0.2825, 0.0226)  2 Hf 2.58, 1 Mn 2.59, 3 Na 2.84-2.86
S (0.7597, 0.2825, 0.5194)  2 Hf 2.58, 1 Mn 2.60, 3 Na 2.84-2.86
S (0.7404, 0.7208, 0.4807)  3 Hf 2.60, 3 Na 2.84
S (0.7598, 0.2825, 0.0226)  2 Hf 2.58, 1 Mn 2.59, 3 Na 2.84-2.86
S (0.7372, 0.7175, 0.9774)  2 Hf 2.58, 1 Mn 2.59, 3 Na 2.84-2.86
S (0.2403, 0.7175, 0.4806)  2 Hf 2.58, 1 Mn 2.60, 3 Na 2.84-2.86
S (0.2596, 0.2792, 0.5193)  3 Hf 2.60, 3 Na 2.84
Na (0.0000, 0.0000, 0.0000)  6 S 2.84-2.86
Na (0.5000, 0.0000, 0.0000)  6 S 2.84
Na (0.5000, 0.0000, 0.5000)  6 S 2.84-2.86
Na (0.0000, 0.0000, 0.5000)  6 S 2.84-2.86
Hf (0.5000, 0.5000, 0.0000)  6 S 2.58-2.60
Hf (0.5000, 0.5000, 0.5000)  6 S 2.58-2.60
Hf (0.0000, 0.5000, 0.5000)  6 S 2.58-2.60
Mn (0.0000, 0.5000, 0.0000)  6 S 2.59-2.60

The space group is R-3m. The uncorrected formation energy comes out at -1.35 eV/atom.

Below is crystalline Na3Hf2MnSe6 at its relaxed geometry, with properties calculated at the PBE-GGA level.

Lattice parameters (Å, degrees): 6.4966 6.4966 7.4462 98.37 98.37 120.29
With the nearest neighbours (Å) after each atom.
Fractional coordinates of all 12 atoms:
Se (0.9303, 0.6126, 0.7873)  1 Mn 2.56, 2 Hf 2.69-2.70
Se (0.0697, 0.3874, 0.2127)  1 Mn 2.56, 2 Hf 2.69-2.70
Se (0.2437, 0.2437, 0.7839)  1 Mn 2.56, 2 Hf 2.68
Se (0.3874, 0.0697, 0.2127)  1 Mn 2.56, 2 Hf 2.69-2.70
Se (0.6126, 0.9303, 0.7873)  1 Mn 2.56, 2 Hf 2.69-2.70
Se (0.7563, 0.7563, 0.2161)  1 Mn 2.56, 2 Hf 2.68
Na (0.8268, 0.1732, 0.5000)  6 Se 2.94-3.01
Na (0.5000, 0.5000, 0.5000)  6 Se 2.94-3.04
Na (0.1732, 0.8268, 0.5000)  6 Se 2.94-3.01
Mn (0.0000, 0.0000, 0.0000)  6 Se 2.56
Hf (0.6642, 0.3358, 0.0000)  6 Se 2.68-2.70
Hf (0.3358, 0.6642, 0.0000)  6 Se 2.68-2.70

The space group is C2/m. The uncorrected formation energy comes out at -1.03 eV/atom.

Below is crystalline Na4Hf3MnSe8 at its relaxed geometry, with properties calculated at the PBE-GGA level.

Lattice parameters (Å, degrees): 7.7225 8.3486 7.7245 117.56 119.99 90.00
With the nearest neighbours (Å) after each atom.
Fractional coordinates of all 16 atoms:
Se (0.2400, 0.7188, 0.9788)  2 Hf 2.71, 1 Mn 2.72, 3 Na 2.98-2.99
Se (0.7599, 0.2811, 0.5199)  2 Hf 2.71, 1 Mn 2.72, 3 Na 2.98-2.99
Se (0.7409, 0.7228, 0.4819)  3 Hf 2.73, 3 Na 2.97
Se (0.7388, 0.7188, 0.9788)  2 Hf 2.71, 1 Mn 2.72, 3 Na 2.98-2.99
Se (0.2401, 0.7189, 0.4801)  2 Hf 2.71, 1 Mn 2.72, 3 Na 2.98-2.99
Se (0.2612, 0.2812, 0.0212)  2 Hf 2.71, 1 Mn 2.72, 3 Na 2.98-2.99
Se (0.2591, 0.2772, 0.5181)  3 Hf 2.73, 3 Na 2.97
Se (0.7600, 0.2812, 0.0212)  2 Hf 2.71, 1 Mn 2.72, 3 Na 2.98-2.99
Hf (0.5000, 0.5000, 0.5000)  6 Se 2.71-2.73
Hf (0.5000, 0.5000, 0.0000)  6 Se 2.71-2.73
Hf (0.0000, 0.5000, 0.5000)  6 Se 2.71-2.73
Na (0.5000, 0.0000, 0.0000)  6 Se 2.98
Na (0.5000, 0.0000, 0.5000)  6 Se 2.97-2.99
Na (0.0000, 0.0000, 0.5000)  6 Se 2.97-2.99
Na (0.0000, 0.0000, 0.0000)  6 Se 2.97-2.99
Mn (0.0000, 0.5000, 0.0000)  6 Se 2.72

The space group is R-3m. The uncorrected formation energy comes out at -1.16 eV/atom.

Below is crystalline Na3Hf2MnTe6 at its relaxed geometry, with properties calculated at the PBE-GGA level.

Lattice parameters (Å, degrees): 7.2153 7.2153 7.9692 98.68 98.68 119.99
With the nearest neighbours (Å) after each atom.
Fractional coordinates of all 12 atoms:
Te (0.5948, 0.9278, 0.7826)  1 Mn 2.91, 2 Hf 2.92, 3 Na 3.21-3.22
Te (0.2599, 0.2599, 0.7812)  2 Hf 2.92, 1 Mn 2.92, 3 Na 3.22-3.23
Te (0.9278, 0.5948, 0.7826)  1 Mn 2.91, 2 Hf 2.92, 3 Na 3.21-3.22
Te (0.7401, 0.7401, 0.2188)  2 Hf 2.92, 1 Mn 2.92, 3 Na 3.22-3.23
Te (0.0722, 0.4052, 0.2174)  1 Mn 2.91, 2 Hf 2.92, 3 Na 3.21-3.22
Te (0.4052, 0.0722, 0.2174)  1 Mn 2.91, 2 Hf 2.92, 3 Na 3.21-3.22
Mn (0.0000, 0.0000, 0.0000)  6 Te 2.91-2.92
Hf (0.3339, 0.6661, 0.0000)  6 Te 2.92
Hf (0.6661, 0.3339, 0.0000)  6 Te 2.92
Na (0.1682, 0.8318, 0.5000)  6 Te 3.21-3.23
Na (0.8318, 0.1682, 0.5000)  6 Te 3.21-3.23
Na (0.5000, 0.5000, 0.5000)  6 Te 3.22

The space group is C2/m. The uncorrected formation energy comes out at -0.74 eV/atom.

Below is crystalline Na3Hf3MnTe8 at its relaxed geometry, with properties calculated at the PBE-GGA level.

Lattice parameters (Å, degrees): 8.2067 8.2093 9.0770 116.90 90.00 119.99
With the nearest neighbours (Å) after each atom.
Fractional coordinates of all 15 atoms:
Te (0.2619, 0.0231, 0.2843)  2 Hf 2.90, 1 Mn 2.90, 2 Na 3.23-3.24
Te (0.2595, 0.5190, 0.2785)  3 Hf 2.92, 3 Na 3.20
Te (0.7611, 0.0231, 0.2843)  2 Hf 2.90, 1 Mn 2.90, 2 Na 3.23-3.24
Te (0.2389, 0.9769, 0.7157)  2 Hf 2.90, 1 Mn 2.90, 2 Na 3.23-3.24
Te (0.2389, 0.4779, 0.7158)  2 Hf 2.90, 1 Mn 2.90, 2 Na 3.23
Te (0.7405, 0.4810, 0.7215)  3 Hf 2.92, 3 Na 3.20
Te (0.7381, 0.9769, 0.7157)  2 Hf 2.90, 1 Mn 2.90, 2 Na 3.23-3.24
Te (0.7611, 0.5221, 0.2842)  2 Hf 2.90, 1 Mn 2.90, 2 Na 3.23
Mn (0.0000, 0.0000, 0.5000)  6 Te 2.90
Na (0.0000, 0.0000, 0.0000)  6 Te 3.20-3.24
Na (0.5000, 0.5000, 0.0000)  6 Te 3.20-3.23
Na (0.0000, 0.5000, 0.0000)  6 Te 3.20-3.23
Hf (0.5000, 0.0000, 0.5000)  6 Te 2.90-2.92
Hf (0.0000, 0.5000, 0.5000)  6 Te 2.90-2.92
Hf (0.5000, 0.5000, 0.5000)  6 Te 2.90-2.92

The space group is R-3m. The uncorrected formation energy comes out at -0.75 eV/atom.

Below is crystalline Na3HfMn2Te6 at its relaxed geometry, with properties calculated at the PBE-GGA level.

Lattice parameters (Å, degrees): 7.1941 7.1941 7.9357 98.71 98.71 119.89
With the nearest neighbours (Å) after each atom.
Fractional coordinates of all 12 atoms:
Te (0.0702, 0.4068, 0.2125)  2 Mn 2.87-2.88, 1 Hf 2.90
Te (0.5932, 0.9298, 0.7875)  2 Mn 2.87-2.88, 1 Hf 2.90
Te (0.7330, 0.7330, 0.2108)  2 Mn 2.87, 1 Hf 2.91
Te (0.2670, 0.2670, 0.7892)  2 Mn 2.87, 1 Hf 2.91
Te (0.9298, 0.5932, 0.7875)  2 Mn 2.87-2.88, 1 Hf 2.90
Te (0.4068, 0.0702, 0.2125)  2 Mn 2.87-2.88, 1 Hf 2.90
Mn (0.3327, 0.6673, 0.0000)  6 Te 2.87-2.88
Mn (0.6673, 0.3327, 0.0000)  6 Te 2.87-2.88
Na (0.8353, 0.1647, 0.5000)  6 Te 3.24-3.25
Na (0.1647, 0.8353, 0.5000)  6 Te 3.24-3.25
Na (0.5000, 0.5000, 0.5000)  6 Te 3.23-3.25
Hf (0.0000, 0.0000, 0.0000)  6 Te 2.90-2.91

The space group is C2/m. The uncorrected formation energy comes out at -0.61 eV/atom.

Below is crystalline Na4Hf3MnTe8 at its relaxed geometry, with properties calculated at the PBE-GGA level.

Lattice parameters (Å, degrees): 8.2791 9.0212 8.2806 117.33 119.99 90.00
With the nearest neighbours (Å) after each atom.
Fractional coordinates of all 16 atoms:
Te (0.7407, 0.7222, 0.4815)  3 Hf 2.93, 3 Na 3.20
Te (0.7614, 0.2820, 0.5228)  1 Mn 2.91, 2 Hf 2.92, 3 Na 3.22-3.23
Te (0.7409, 0.7180, 0.9795)  1 Mn 2.90, 2 Hf 2.92, 3 Na 3.22-3.23
Te (0.2386, 0.7180, 0.4772)  1 Mn 2.91, 2 Hf 2.92, 3 Na 3.22-3.23
Te (0.2593, 0.2778, 0.5185)  3 Hf 2.93, 3 Na 3.20
Te (0.2591, 0.2820, 0.0205)  1 Mn 2.90, 2 Hf 2.92, 3 Na 3.22-3.23
Te (0.2385, 0.7180, 0.9795)  1 Mn 2.90, 2 Hf 2.92, 3 Na 3.22-3.23
Te (0.7615, 0.2820, 0.0205)  1 Mn 2.90, 2 Hf 2.92, 3 Na 3.22-3.23
Mn (0.0000, 0.5000, 0.0000)  6 Te 2.90-2.91
Hf (0.5000, 0.5000, 0.5000)  6 Te 2.92-2.93
Hf (0.5000, 0.5000, 0.0000)  6 Te 2.92-2.93
Hf (0.0000, 0.5000, 0.5000)  6 Te 2.92-2.93
Na (0.5000, 0.0000, 0.5000)  6 Te 3.20-3.22
Na (0.5000, 0.0000, 0.0000)  6 Te 3.23
Na (0.0000, 0.0000, 0.5000)  6 Te 3.20-3.22
Na (0.0000, 0.0000, 0.0000)  6 Te 3.20-3.22

The space group is R-3m. The uncorrected formation energy comes out at -0.76 eV/atom.

Below is crystalline NaHfMnTe3 at its relaxed geometry, with properties calculated at the PBE-GGA level.

Lattice parameters (Å, degrees): 3.8962 8.6366 10.5785 113.65 90.00 90.00
With the nearest neighbours (Å) after each atom.
Fractional coordinates of all 12 atoms:
Te (0.7500, 0.2729, 0.5330)  3 Mn 2.67-2.72, 1 Hf 2.78
Te (0.2500, 0.5839, 0.8841)  3 Hf 2.93-3.03, 2 Na 3.18
Te (0.2500, 0.0682, 0.8026)  1 Mn 2.65, 2 Hf 2.83
Te (0.2500, 0.7271, 0.4670)  3 Mn 2.67-2.72, 1 Hf 2.78
Te (0.7500, 0.9318, 0.1974)  1 Mn 2.65, 2 Hf 2.83
Te (0.7500, 0.4161, 0.1159)  3 Hf 2.93-3.03, 2 Na 3.18
Na (0.2500, 0.2656, 0.2753)  6 Te 3.18-3.33
Na (0.7500, 0.7344, 0.7247)  6 Te 3.18-3.33
Mn (0.7500, 0.9374, 0.4500)  2 Mn 2.27
Mn (0.2500, 0.0626, 0.5500)  2 Mn 2.27
Hf (0.2500, 0.6916, 0.1939)  6 Te 2.78-3.03
Hf (0.7500, 0.3084, 0.8061)  6 Te 2.78-3.03

The space group is P2_1/m. The uncorrected formation energy comes out at -0.55 eV/atom.

Below is crystalline Hf2MnNb at its relaxed geometry, with properties calculated at the PBE-GGA level.

Lattice parameters (Å, degrees): 3.1076 3.1076 9.0096 80.07 80.07 60.00
With the nearest neighbours (Å) after each atom.
Fractional coordinates of all 4 atoms:
Mn (0.0000, 0.0000, 0.0000)  6 Hf 2.64
Nb (0.5000, 0.5000, 0.5000)  6 Hf 3.06, 6 Nb 3.11
Hf (0.2604, 0.2604, 0.2188)  3 Mn 2.64
Hf (0.7396, 0.7396, 0.7812)  3 Mn 2.64

The space group is R-3m. The value obtained for the distance to the lowest polymorph of the same formula is 0.250 eV/atom.

Below is crystalline HfMnNb2 at its relaxed geometry, with properties calculated at the PBE-GGA level.

Lattice parameters (Å, degrees): 4.5743 4.5743 4.5743 60.00 60.00 60.00
With the nearest neighbours (Å) after each atom.
Fractional coordinates of all 4 atoms:
Hf (0.5000, 0.5000, 0.5000)  8 Nb 2.80
Nb (0.7500, 0.7500, 0.7500)  4 Hf 2.80, 4 Mn 2.80
Nb (0.2500, 0.2500, 0.2500)  4 Hf 2.80, 4 Mn 2.80
Mn (0.0000, 0.0000, 0.0000)  8 Nb 2.80

The space group is Fm-3m. The value obtained for the distance to the lowest polymorph of the same formula is 0.199 eV/atom.

Below is crystalline HfMnNb2 at its relaxed geometry, with properties calculated at the PBE-GGA level.

Lattice parameters (Å, degrees): 3.1213 3.1213 7.0960 90.00 90.00 90.00
With the nearest neighbours (Å) after each atom.
Fractional coordinates of all 4 atoms:
Nb (0.0000, 0.0000, 0.7875)  4 Mn 2.67
Nb (0.0000, 0.0000, 0.2125)  4 Mn 2.67
Mn (0.5000, 0.5000, 0.0000)  8 Nb 2.67
Hf (0.5000, 0.5000, 0.5000)  8 Nb 3.01, 4 Hf 3.12

The space group is P4/mmm. The value obtained for the distance to the lowest polymorph of the same formula is 0.066 eV/atom.

Total moment in μB per atom, matching the order above: 0.3185; 0.2896; 0.0054; 0.2949; 0.3515; 0.3254; 0.7501; 0.2987; 0.0870; 0.0004; 0.0000; 0.0000